(1)
The following is a GGA-PBEsol calculation of a relaxed KCoSe2 crystal, from Alexandria.

```
KCoSe2
1.0
-3.588 3.588 3.676
3.588 -3.588 3.676
3.588 3.588 -3.676
K Co Se
2 2 4
Cartesian
0.000 0.000 0.000
0.000 3.588 1.838
3.588 0.000 1.838
0.000 0.000 3.676
1.794 -0.964 2.757
2.624 1.794 0.919
1.794 4.552 -0.919
0.964 1.794 4.595
```

Output
Theoretical density ... 4.491 g/cm3
Crystal system ... tetragonal
Raw total energy ... -4.6768 eV per atom
SG ... No. 122
E_form (uncorrected) ... -0.5341 eV/atom

***

(2)
The following is a GGA-PBEsol calculation of a relaxed KCo2TcSe crystal, from Alexandria.

```
KCo2TcSe
1.0
4.369 0.000 0.000
0.000 4.369 0.000
0.000 0.000 5.499
K Co Tc Se
1 2 1 1
Cartesian
0.000 0.000 0.000
0.000 2.185 2.749
2.185 0.000 2.749
0.000 0.000 2.749
2.185 2.185 0.000
```

Output
Theoretical density ... 5.283 g/cm3
Crystal system ... tetragonal
Raw total energy ... -4.8386 eV per atom
SG ... No. 123
E_form (uncorrected) ... 1.5062 eV/atom

***

(3)
The following is a GGA-PBEsol calculation of a relaxed K2CoSi2 crystal, from Alexandria.

```
K2CoSi2
1.0
-1.711 1.711 10.748
1.711 -1.711 10.748
1.711 1.711 -10.748
K Co Si
2 1 2
Cartesian
0.000 0.000 2.319
0.000 0.000 19.178
0.000 0.000 10.748
1.711 0.000 5.374
0.000 1.711 5.374
```

Output
Theoretical density ... 2.550 g/cm3
Crystal system ... tetragonal
Raw total energy ... -3.5220 eV per atom
SG ... No. 139
E_form (uncorrected) ... 0.7774 eV/atom

***

(4)
The following is a GGA-PBEsol calculation of a relaxed K2SrCoSi crystal, from Alexandria.

```
K2SrCoSi
1.0
6.284 0.000 0.000
0.000 6.284 0.000
0.000 0.000 4.589
K Sr Co Si
2 1 1 1
Cartesian
0.000 3.142 0.000
3.142 0.000 0.000
0.000 0.000 0.000
0.000 0.000 2.294
3.142 3.142 2.294
```

Output
Theoretical density ... 2.317 g/cm3
Crystal system ... tetragonal
Raw total energy ... -2.0949 eV per atom
SG ... No. 123
E_form (uncorrected) ... 1.4233 eV/atom

***

(5)
The following is a GGA-PBEsol calculation of a relaxed KCoSn2 crystal, from Alexandria.

```
KCoSn2
1.0
0.000 3.438 3.438
3.438 0.000 3.438
3.438 3.438 0.000
K Co Sn
1 1 2
Cartesian
0.000 0.000 0.000
3.438 3.438 3.438
1.719 1.719 1.719
5.157 5.157 5.157
```

Output
Theoretical density ... 6.853 g/cm3
Crystal system ... cubic
E_form ... 0.43 eV/atom
Raw total energy ... -3.9201 eV per atom
SG ... No. 225

***

(6)
The following is a GGA-PBEsol calculation of a relaxed KCo3Sn crystal, from Alexandria.

```
KCo3Sn
1.0
4.838 0.000 0.000
0.000 4.838 0.000
0.000 0.000 4.838
K Co Sn
1 3 1
Cartesian
0.000 0.000 0.000
0.000 2.419 2.419
2.419 0.000 2.419
2.419 2.419 0.000
2.419 2.419 2.419
```

Output
Theoretical density ... 4.907 g/cm3
Crystal system ... cubic
E_form ... 1.29 eV/atom
Raw total energy ... -4.4342 eV per atom
SG ... No. 221

***

(7)
The following is a GGA-PBEsol calculation of a relaxed KSrCo3 crystal, from Alexandria.

```
KSrCo3
1.0
5.169 0.000 0.000
0.000 5.169 0.000
0.000 0.000 5.169
K Sr Co
1 1 3
Cartesian
0.000 0.000 0.000
2.585 2.585 2.585
0.000 2.585 2.585
2.585 0.000 2.585
2.585 2.585 0.000
```

Output
Theoretical density ... 3.649 g/cm3
Crystal system ... cubic
E_form ... 2.10 eV/atom
Raw total energy ... -3.1403 eV per atom
SG ... No. 221

***

(8)
The following is a GGA-PBEsol calculation of a relaxed KTaCo2 crystal, from Alexandria.

```
KTaCo2
1.0
3.006 0.000 0.000
0.000 3.006 0.000
0.000 0.000 7.811
K Ta Co
1 1 2
Cartesian
0.000 0.000 0.000
0.000 0.000 3.906
1.503 1.503 2.560
1.503 1.503 5.251
```

Output
Theoretical density ... 7.950 g/cm3
Crystal system ... tetragonal
E_form ... 0.42 eV/atom
Raw total energy ... -6.8745 eV per atom
SG ... No. 123
Polymorph energy (0 for the lowest one) ... 0 meV per atom

***

- Which of these has the highest raw total energy?
  K2SrCoSi